Entry 1:
The following is a DFT calculation (meta-GGA SCAN) of KTi2MoF at its PBEsol-relaxed geometry.

Computed properties:
Uncorrected energy in hartree per atom: -0.556
D(E_F) in states/eV per atom: 1.049
Raw formation energy in eV/atom: 0.640
Volume in Å³/cell: 84.9

Unit cell a=4.4661 b=4.4661 c=4.2584 alpha=90.00 beta=90.00 gamma=90.00
With the nearest neighbours (Å) after each atom.
Space group P4/mmm (No. 123)
Inequivalent atoms, fractional coordinates:
K 0.0000 0.0000 0.0000  8 Ti 3.09, 4 Mo 3.16
Ti 0.0000 0.5000 0.5000  2 F 2.23
Mo 0.5000 0.5000 0.0000  2 F 2.13
F 0.5000 0.5000 0.5000  2 Mo 2.13, 4 Ti 2.23



Entry 2:
The following is a DFT calculation (meta-GGA SCAN) of K2NF at its PBEsol-relaxed geometry.

Computed properties:
Uncorrected energy in hartree per atom: -0.297
D(E_F) in states/eV per atom: 1.155
Raw formation energy in eV/atom: -0.707
Volume in Å³/cell: 287.2

Unit cell a=6.5977 b=6.5977 c=6.5977 alpha=90.00 beta=90.00 gamma=90.00
With the nearest neighbours (Å) after each atom.
Space group Fm-3m (No. 225)
Inequivalent atoms, fractional coordinates:
K 0.2500 0.2500 0.2500  4 F 2.86, 4 N 2.86
N 0.0000 0.0000 0.0000  8 K 2.86
F 0.0000 0.0000 0.5000  8 K 2.86



Entry 3:
The following is a DFT calculation (meta-GGA SCAN) of KOsNF2 at its PBEsol-relaxed geometry.

Computed properties:
Uncorrected energy in hartree per atom: -0.666
D(E_F) in states/eV per atom: 0.238
Raw formation energy in eV/atom: 1.198
Volume in Å³/cell: 93.2

Unit cell a=4.4343 b=4.4343 c=4.7390 alpha=90.00 beta=90.00 gamma=90.00
With the nearest neighbours (Å) after each atom.
Space group P4/mmm (No. 123)
Inequivalent atoms, fractional coordinates:
K 0.0000 0.0000 0.0000  4 F 2.22, 2 N 2.37
Os 0.5000 0.5000 0.5000  4 N 3.14, 8 F 3.25
N 0.0000 0.0000 0.5000  2 K 2.37
F 0.0000 0.5000 0.0000  2 K 2.22



Entry 4:
The following is a DFT calculation (meta-GGA SCAN) of KPdN2F at its PBEsol-relaxed geometry.

Computed properties:
Uncorrected energy in hartree per atom: -0.461
D(E_F) in states/eV per atom: 0.200
Raw formation energy in eV/atom: 0.112
Volume in Å³/cell: 80.9

Unit cell a=3.7226 b=3.7226 c=5.8358 alpha=90.00 beta=90.00 gamma=90.00
With the nearest neighbours (Å) after each atom.
Space group P4/mmm (No. 123)
Inequivalent atoms, fractional coordinates:
K 0.0000 0.0000 0.0000  4 F 2.63
Pd 0.5000 0.5000 0.5000  4 N 1.86
N 0.0000 0.5000 0.5000  2 Pd 1.86
F 0.5000 0.5000 0.0000  4 K 2.63, 2 Pd 2.92



Entry 5:
The following is a DFT calculation (meta-GGA SCAN) of KPtNF2 at its PBEsol-relaxed geometry.

Computed properties:
Uncorrected energy in hartree per atom: -0.667
D(E_F) in states/eV per atom: 1.130
Raw formation energy in eV/atom: 0.834
Volume in Å³/cell: 101.1

Unit cell a=4.5934 b=4.5934 c=4.7932 alpha=90.00 beta=90.00 gamma=90.00
With the nearest neighbours (Å) after each atom.
Space group P4/mmm (No. 123)
Inequivalent atoms, fractional coordinates:
K 0.0000 0.0000 0.0000  4 F 2.30, 2 N 2.40
Pt 0.5000 0.5000 0.5000  4 N 3.25, 8 F 3.32
N 0.0000 0.0000 0.5000  2 K 2.40
F 0.0000 0.5000 0.0000  2 K 2.30



Entry 6:
The following is a DFT calculation (meta-GGA SCAN) of KRuNF2 at its PBEsol-relaxed geometry.

Computed properties:
Uncorrected energy in hartree per atom: -0.416
Raw formation energy in eV/atom: 0.582
Volume in Å³/cell: 97.9

Unit cell a=4.5519 b=4.5519 c=4.7263 alpha=90.00 beta=90.00 gamma=90.00
With the nearest neighbours (Å) after each atom.
Space group P4/mmm (No. 123)
Inequivalent atoms, fractional coordinates:
K 0.0000 0.0000 0.0000  4 F 2.28, 2 N 2.36
Ru 0.5000 0.5000 0.5000  4 N 3.22, 8 F 3.28
N 0.0000 0.0000 0.5000  2 K 2.36
F 0.0000 0.5000 0.0000  2 K 2.28